No. 1
A relaxed Tb2CeHg crystal. Source: the Alexandria database, functional PBE.

Lattice parameters (Å, degrees): 5.359 5.359 5.359 60.00 60.00 60.00
Positions (direct):
1 Tb 0.250 0.250 0.250
2 Tb 0.750 0.750 0.750
3 Ce 0.000 0.000 0.000
4 Hg 0.500 0.500 0.500

Distance to the lowest polymorph of the same formula = 206.1 meV per atom
DFT formation energy = 6.7 meV/atom

No. 2
A relaxed TaTeSeBr2 crystal. Source: the Alexandria database, functional PBE.

Lattice parameters (Å, degrees): 5.473 5.473 5.509 90.00 90.00 90.00
Positions (direct):
1 Ta 0.000 0.000 0.000
2 Te 0.500 0.500 0.500
3 Se 0.500 0.500 0.000
4 Br 0.000 0.500 0.500
5 Br 0.500 0.000 0.500

Distance to the lowest polymorph of the same formula = 1309.1 meV per atom

No. 3
A relaxed V3GaGe crystal. Source: the Alexandria database, functional PBE.

Lattice parameters (Å, degrees): 4.685 5.011 6.304 90.00 104.64 90.00
Positions (direct):
1 V 0.155 0.250 0.168
2 V 0.309 0.505 0.628
3 V 0.309 0.995 0.628
4 V 0.691 0.005 0.372
5 V 0.691 0.495 0.372
6 V 0.845 0.750 0.832
7 Ga 0.404 0.750 0.001
8 Ga 0.596 0.250 0.999
9 Ge 0.120 0.750 0.269
10 Ge 0.880 0.250 0.731

Distance to the lowest polymorph of the same formula = 0.0 meV per atom
DFT formation energy = -76.3 meV/atom

No. 4
A relaxed MgAlZn2 crystal. Source: the Alexandria database, functional PBE.

Lattice parameters (Å, degrees): 3.006 4.428 5.294 90.00 104.17 90.00
Positions (direct):
1 Mg 0.000 0.000 0.000
2 Al 0.298 0.500 0.662
3 Zn 0.580 0.500 0.197
4 Zn 0.712 0.000 0.477

DFT formation energy = -17.6 meV/atom

No. 5
A relaxed BeCoH3 crystal. Source: the Alexandria database, functional PBE.

Lattice parameters (Å, degrees): 3.058 3.058 3.058 90.00 90.00 90.00
Positions (direct):
1 Be 0.000 0.000 0.000
2 Co 0.500 0.500 0.500
3 H 0.000 0.000 0.500
4 H 0.000 0.500 0.000
5 H 0.500 0.000 0.000

Distance to the lowest polymorph of the same formula = 466.6 meV per atom

No. 6
A relaxed Eu2MgIn crystal. Source: the Alexandria database, functional PBE.

Lattice parameters (Å, degrees): 5.611 5.611 5.611 60.00 60.00 60.00
Positions (direct):
1 Eu 0.250 0.250 0.250
2 Eu 0.750 0.750 0.750
3 Mg 0.000 0.000 0.000
4 In 0.500 0.500 0.500

DFT formation energy = -293.6 meV/atom

No. 7
A relaxed RbMgTi2O6 crystal. Source: the Alexandria database, functional PBE.

Lattice parameters (Å, degrees): 7.686 7.686 6.385 103.19 103.19 104.40
Positions (direct):
1 Rb 0.106 0.894 0.750
2 Rb 0.894 0.106 0.250
3 Mg 0.210 0.790 0.250
4 Mg 0.790 0.210 0.750
5 Ti 0.285 0.434 0.841
6 Ti 0.434 0.285 0.341
7 Ti 0.566 0.715 0.659
8 Ti 0.715 0.566 0.159
9 O 0.053 0.263 0.742
10 O 0.223 0.635 0.968
11 O 0.263 0.053 0.242
12 O 0.344 0.417 0.558
13 O 0.365 0.777 0.532
14 O 0.417 0.344 0.058
15 O 0.583 0.656 0.942
16 O 0.635 0.223 0.468
17 O 0.656 0.583 0.442
18 O 0.737 0.947 0.758
19 O 0.777 0.365 0.032
20 O 0.947 0.737 0.258

No. 8
A relaxed CePmSbN2 crystal. Source: the Alexandria database, functional PBE.

Lattice parameters (Å, degrees): 7.619 7.619 5.628 90.00 90.00 136.73
Positions (direct):
1 Ce 0.076 0.924 0.750
2 Ce 0.924 0.076 0.250
3 Pm 0.417 0.583 0.750
4 Pm 0.583 0.417 0.250
5 Sb 0.252 0.748 0.250
6 Sb 0.748 0.252 0.750
7 N 0.240 0.240 0.000
8 N 0.240 0.240 0.500
9 N 0.760 0.760 0.000
10 N 0.760 0.760 0.500

No. 9
A relaxed Sm2NpN crystal. Source: the Alexandria database, functional PBE.

Lattice parameters (Å, degrees): 9.910 9.910 9.910 20.01 20.01 20.01
Positions (direct):
1 Sm 0.118 0.118 0.118
2 Sm 0.882 0.882 0.882
3 Np 0.000 0.000 0.000
4 N 0.500 0.500 0.500

Distance to the lowest polymorph of the same formula = 0.0 meV per atom

No. 10
A relaxed HfCdHg2Te crystal. Source: the Alexandria database, functional PBE.

Lattice parameters (Å, degrees): 5.587 5.587 5.498 90.00 90.00 90.00
Positions (direct):
1 Hf 0.000 0.000 0.000
2 Cd 0.500 0.500 0.000
3 Hg 0.000 0.500 0.500
4 Hg 0.500 0.000 0.500
5 Te 0.500 0.500 0.500

No. 11
A relaxed ThMgCo2H6 crystal. Source: the Alexandria database, functional PBE.

Lattice parameters (Å, degrees): 5.711 5.711 5.711 45.73 45.73 45.73
Positions (direct):
1 Th 0.000 0.000 0.000
2 Mg 0.500 0.500 0.500
3 Co 0.211 0.211 0.211
4 Co 0.789 0.789 0.789
5 H 0.062 0.566 0.566
6 H 0.434 0.434 0.938
7 H 0.434 0.938 0.434
8 H 0.566 0.062 0.566
9 H 0.566 0.566 0.062
10 H 0.938 0.434 0.434

No. 12
A relaxed Sm5TmSc2 crystal. Source: the Alexandria database, functional PBE.

Lattice parameters (Å, degrees): 9.905 14.001 3.538 90.00 90.00 90.00
Positions (direct):
1 Sm 0.000 0.000 0.000
2 Sm 0.001 0.251 0.000
3 Sm 0.247 0.624 0.500
4 Sm 0.253 0.124 0.500
5 Sm 0.499 0.751 0.000
6 Sm 0.500 0.500 0.000
7 Sm 0.501 0.249 0.000
8 Sm 0.747 0.876 0.500
9 Sm 0.753 0.376 0.500
10 Sm 0.999 0.749 0.000
11 Tm 0.000 0.500 0.000
12 Tm 0.500 0.000 0.000
13 Sc 0.248 0.376 0.500
14 Sc 0.252 0.876 0.500
15 Sc 0.748 0.124 0.500
16 Sc 0.752 0.624 0.500

Distance to the lowest polymorph of the same formula = 0.0 meV per atom
DFT formation energy = 45.9 meV/atom

no.,total energy (eV/atom),volume (Å³ per cell)
1,-3.87,108.8
2,-2.97,165.0
3,-7.08,143.2
4,-1.99,68.3
5,-3.69,28.6
6,-6.51,124.9
7,-7.32,339.1
8,-7.35,223.9
9,-7.94,99.7
10,-1.83,171.6
11,-4.64,87.1
12,-5.05,490.7